[1]
A plane-wave DFT calculation with PBE was carried out for a relaxed Ag2RuRh crystal.

Output
Total magnetization: 2.89 μB per formula unit
Energy of formation from the pure elements: 0.513 eV per atom
E_tot: -20.28 eV for the cell shown
Volume: 65 Å³ per cell
Distance to the lowest polymorph of the same formula: 303 meV/atom

abc: 4.3528 3.8533 3.8533
angles: 90.00 90.00 90.00
Last column: magnetic moment on the atom in μB.
Atoms (fractional coordinates):
1 Ag 0.0000 0.0000 0.0000  0.05
2 Ag 0.0000 0.5000 0.5000  0.05
3 Rh 0.5000 0.5000 0.0000  0.94
4 Ru 0.5000 0.0000 0.5000  1.79

=====

[2]
A plane-wave DFT calculation with PBE was carried out for a relaxed Th3GeS2 crystal.

Output
Total magnetization: 0.00 μB per formula unit
E_tot: -44.13 eV for the cell shown
Volume: 150 Å³ per cell
Formation energy from raw total energies: -144.78 kJ/mol of atoms

abc: 4.1924 5.8572 7.1026
angles: 114.35 107.15 90.00
Atoms (fractional coordinates):
1 Th 0.5000 0.5000 0.0000
2 Th 0.1712 0.1714 0.3428
3 Th 0.8288 0.8286 0.6572
4 Ge 0.5000 0.0000 0.0000
5 S 0.1635 0.6634 0.3268
6 S 0.8365 0.3366 0.6732

=====

[3]
A plane-wave DFT calculation with PBE was carried out for a relaxed SrCa2LaCu crystal.

Output
Total magnetization: 0.00 μB per formula unit
Energy of formation from the pure elements: 0.013 eV per atom
E_tot: -14.64 eV for the cell shown
Volume: 193 Å³ per cell
Distance to the lowest polymorph of the same formula: 0 meV/atom

abc: 5.8463 5.8463 5.6336
angles: 90.00 90.00 90.00
Atoms (fractional coordinates):
1 Sr 0.5000 0.5000 0.5000
2 Ca 0.0000 0.5000 0.0000
3 Ca 0.5000 0.0000 0.0000
4 Cu 0.0000 0.0000 0.0000
5 La 0.0000 0.0000 0.5000